Entry from Alexandria via LeMat-Bulk: a crystal of ZnHg3 relaxed with PBEsol (SCAN).

Values from the calculation:
**N(E_F)**: 0.31 states/eV/atom
**Crystal system**: orthorhombic
**Polymorph energy (0 for the lowest one)**: 12.6 meV/atom
**Formation energy**: 0.3 eV/f.u.

Lattice parameters (Å, degrees): 3.7077 5.8645 7.9810 90.00 90.00 90.00
Positions (direct):
1 Zn 0.0000 0.0000 0.3472
2 Zn 0.5000 0.5000 0.6528
3 Hg 0.5000 0.0000 0.5985
4 Hg 0.0000 0.5000 0.4015
5 Hg 0.0000 0.2492 0.8543
6 Hg 0.0000 0.7508 0.8543
7 Hg 0.5000 0.7492 0.1457
8 Hg 0.5000 0.2508 0.1457


Entry from Alexandria via LeMat-Bulk: a crystal of Cs3ZnCl5 relaxed with PBEsol (SCAN).

Values from the calculation:
**N(E_F)**: 0.00 states/eV/atom
**Formation energy without anion corrections**: -1716 kJ/mol of formula units
**Crystal system**: tetragonal

Lattice parameters (Å, degrees): 9.1288 9.6535 9.1288 61.78 90.00 118.22
Each line ends with the local moment (μB).
Positions (direct):
1 Cs 0.1639 0.0000 0.6639  0.00
2 Cs 0.3361 0.0000 0.1639  0.00
3 Cs 0.2500 0.5000 0.7500  0.00
4 Cs 0.8361 0.0000 0.3361  0.00
5 Cs 0.7500 0.5000 0.2500  0.00
6 Cs 0.6639 0.0000 0.8361  0.00
7 Zn 0.7500 0.5000 0.7500  0.00
8 Zn 0.2500 0.5000 0.2500  0.00
9 Cl 0.9837 0.6864 0.5163  0.00
10 Cl 0.7026 0.6864 0.7974  0.00
11 Cl 0.0163 0.3136 0.4837  0.00
12 Cl 0.0000 0.0000 0.0000  0.07
13 Cl 0.2026 0.6864 0.0163  0.00
14 Cl 0.7974 0.3136 0.9837  0.00
15 Cl 0.4837 0.6864 0.2974  0.00
16 Cl 0.2974 0.3136 0.2026  0.00
17 Cl 0.5163 0.3136 0.7026  0.00
18 Cl 0.5000 0.0000 0.5000  0.07


Entry from Alexandria via LeMat-Bulk: a crystal of Be2CdBr relaxed with PBEsol (SCAN).

Values from the calculation:
**N(E_F)**: 0.30 states/eV/atom
**Formation energy without anion corrections**: 275 kJ/mol of formula units
**Crystal system**: monoclinic
**Polymorph energy (0 for the lowest one)**: 467.1 meV/atom

Lattice parameters (Å, degrees): 3.4061 5.0108 5.0025 118.58 107.90 93.79
Positions (direct):
1 Be 0.0000 0.0000 0.5000
2 Be 0.5000 0.5000 0.5000
3 Br 0.5000 0.0000 0.0000
4 Cd 0.0000 0.5000 0.0000


Entry from Alexandria via LeMat-Bulk: a crystal of RuPtCl relaxed with PBEsol (SCAN).

Values from the calculation:
**N(E_F)**: 1.51 states/eV/atom
**Formation energy without anion corrections**: 205 kJ/mol of formula units
**Crystal system**: cubic
**Polymorph energy (0 for the lowest one)**: 359.4 meV/atom

Lattice parameters (Å, degrees): 4.1918 4.1918 4.1918 60.00 60.00 60.00
Each line ends with the local moment (μB).
Positions (direct):
1 Ru 0.2500 0.2500 0.2500  0.68
2 Pt 0.5000 0.5000 0.5000  0.27
3 Cl 0.0000 0.0000 0.0000  0.03


> Look up the N(E_F) of the third one.

0.30 states/eV/atom